[1]
Crystalline Pr2Sm6HoTm at its relaxed geometry. Source: Alexandria via LeMat-Bulk, functional PBE.

## Properties
space-group type: C2/c, No. 15
total magnetic moment: 0.0 μB/cell
total energy: -4.576 eV per atom

Unit cell a=8.908 b=8.908 c=9.817 alpha=94.47 beta=94.47 gamma=118.17
Sites, in units of the cell vectors:
Pr (0.195, 0.298, 0.042)
Pr (0.298, 0.195, 0.542)
Pr (0.702, 0.805, 0.458)
Pr (0.805, 0.702, 0.958)
Sm (0.018, 0.576, 0.190)
Sm (0.125, 0.750, 0.556)
Sm (0.250, 0.875, 0.944)
Sm (0.291, 0.501, 0.381)
Sm (0.424, 0.982, 0.310)
Sm (0.499, 0.709, 0.119)
Sm (0.501, 0.291, 0.881)
Sm (0.576, 0.018, 0.690)
Sm (0.709, 0.499, 0.619)
Sm (0.750, 0.125, 0.056)
Sm (0.875, 0.250, 0.444)
Sm (0.982, 0.424, 0.810)
Ho (0.018, 0.982, 0.250)
Ho (0.982, 0.018, 0.750)
Tm (0.408, 0.592, 0.750)
Tm (0.592, 0.408, 0.250)



[2]
Crystalline Pr4Sm2Ho2Tm at its relaxed geometry. Source: Alexandria via LeMat-Bulk, functional PBE.

## Properties
space-group type: C2/m, No. 12
total magnetic moment: 0.0 μB/cell
total energy: -4.650 eV per atom

Unit cell a=8.891 b=8.891 c=9.883 alpha=99.42 beta=99.42 gamma=23.30
Sites, in units of the cell vectors:
Pr (0.009, 0.009, 0.323)
Pr (0.328, 0.328, 0.766)
Pr (0.672, 0.672, 0.234)
Pr (0.991, 0.991, 0.677)
Sm (0.338, 0.338, 0.412)
Sm (0.662, 0.662, 0.588)
Ho (0.165, 0.165, 0.919)
Ho (0.835, 0.835, 0.081)
Tm (0.500, 0.500, 0.000)



[3]
Crystalline PrSmHo3Tm at its relaxed geometry. Source: Alexandria via LeMat-Bulk, functional PBE.

## Properties
space-group type: C2/m, No. 12
total magnetic moment: 0.0 μB/cell
total energy: -4.397 eV per atom

Unit cell a=10.272 b=10.272 c=7.060 alpha=90.10 beta=90.10 gamma=31.72
Sites, in units of the cell vectors:
Pr (0.144, 0.144, 0.467)
Pr (0.856, 0.856, 0.533)
Sm (0.149, 0.149, 0.044)
Sm (0.851, 0.851, 0.956)
Ho (0.023, 0.023, 0.762)
Ho (0.278, 0.278, 0.743)
Ho (0.338, 0.338, 0.236)
Ho (0.662, 0.662, 0.764)
Ho (0.722, 0.722, 0.257)
Ho (0.977, 0.977, 0.238)
Tm (0.444, 0.444, 0.775)
Tm (0.556, 0.556, 0.225)



[4]
Crystalline PrSm2HoTm5 at its relaxed geometry. Source: Alexandria via LeMat-Bulk, functional PBE.

## Properties
space-group type: I4/mcm, No. 140
total magnetic moment: 0.0 μB/cell
total energy: -4.303 eV per atom

Unit cell a=9.755 b=9.755 c=9.755 alpha=126.76 beta=126.76 gamma=78.64
Sites, in units of the cell vectors:
Pr (0.250, 0.250, 0.000)
Pr (0.750, 0.750, 0.000)
Sm (0.115, 0.615, 0.731)
Sm (0.385, 0.115, 0.500)
Sm (0.615, 0.885, 0.500)
Sm (0.885, 0.385, 0.269)
Ho (0.250, 0.750, 0.500)
Ho (0.750, 0.250, 0.500)
Tm (0.000, 0.000, 0.000)
Tm (0.073, 0.156, 0.500)
Tm (0.156, 0.656, 0.083)
Tm (0.344, 0.427, 0.500)
Tm (0.427, 0.927, 0.083)
Tm (0.500, 0.500, 0.000)
Tm (0.573, 0.073, 0.917)
Tm (0.656, 0.573, 0.500)
Tm (0.844, 0.344, 0.917)
Tm (0.927, 0.844, 0.500)